1.
## BaEuAlCd (GGA-PBE)

Data for crystalline BaEuAlCd at its relaxed geometry.

Cell: 5.7195 5.7195 5.7195 Å, 60.00 60.00 60.00°
Last column: nearest neighbours and their distance in Å.
Positions (direct):
Ba 0.0000 0.0000 0.0000  4 Cd 3.50, 4 Al 3.50
Eu 0.5000 0.5000 0.5000  4 Al 3.50, 4 Cd 3.50
Al 0.7500 0.7500 0.7500  4 Ba 3.50, 4 Eu 3.50
Cd 0.2500 0.2500 0.2500  4 Eu 3.50, 4 Ba 3.50

space group: F-43m (216)
total magnetization: 6.974 μB per formula unit
formation energy from the elements: -192 meV/atom
calculated volume: 33.08 Å³ per atom



2.
## SmSiBIr2 (GGA-PBE)

Data for crystalline SmSiBIr2 at its relaxed geometry.

Cell: 5.9665 5.9665 7.2160 Å, 90.00 90.00 140.92°
Last column: nearest neighbours and their distance in Å.
Positions (direct):
Sm 0.0518 0.9482 0.7500  4 B 2.75
Sm 0.9482 0.0518 0.2500  4 B 2.75
Si 0.2284 0.7716 0.2500  6 Ir 2.50-2.53
Si 0.7716 0.2284 0.7500  6 Ir 2.50-2.53
B 0.5000 0.5000 0.0000  2 Ir 1.94
B 0.5000 0.5000 0.5000  2 Ir 1.94
Ir 0.3317 0.6683 0.5561  1 B 1.94
Ir 0.3317 0.6683 0.9439  1 B 1.94
Ir 0.6683 0.3317 0.0561  1 B 1.94
Ir 0.6683 0.3317 0.4439  1 B 1.94

formation energy from raw total energies: -852 meV per atom
space group: Cmcm (63)
total magnetization: 0.000 μB per formula unit
calculated volume: 16.19 Å³ per atom



3.
## Re2SbBr (GGA-PBE)

Data for crystalline Re2SbBr at its relaxed geometry.

Cell: 4.2048 4.2048 6.9047 Å, 94.34 94.34 59.77°
Last column: nearest neighbours and their distance in Å.
Positions (direct):
Re 0.0000 0.0000 0.0000  3 Re 2.46-2.51
Re 0.6652 0.6652 0.9156  3 Re 2.46-2.51, 1 Br 2.61
Sb 0.3133 0.3133 0.7211  5 Re 2.76-3.08
Br 0.5490 0.5490 0.2632  3 Re 2.61-2.78

formation energy from raw total energies: 545 meV per atom
space group: Cm (8)
total magnetization: 0.000 μB per formula unit
calculated volume: 26.27 Å³ per atom



4.
## Cs2SmInSe4 (GGA-PBE)

Data for crystalline Cs2SmInSe4 at its relaxed geometry.

Cell: 9.1211 9.1211 9.1211 Å, 120.47 120.42 89.23°
Last column: nearest neighbours and their distance in Å.
Positions (direct):
Cs 0.0000 0.0000 0.0000  6 Se 3.47-3.50
Cs 0.5000 0.0000 0.0000  6 Se 3.53
Cs 0.5000 0.0000 0.5000  6 Se 3.47-3.50
Cs 0.5000 0.5000 0.5000  6 Se 3.53
Sm 0.0000 0.5000 0.5000  6 Se 2.98-3.05
Sm 0.5000 0.5000 0.0000  6 Se 2.98-3.05
In 0.0000 0.0000 0.5000  6 Se 2.92-3.00
In 0.0000 0.5000 0.0000  6 Se 2.92-3.00
Se 0.1848 0.7322 0.4525  2 In 2.92, 1 Sm 3.05
Se 0.2203 0.2678 0.9525  2 In 2.92, 1 Sm 3.05
Se 0.2292 0.2674 0.5383  2 Sm 2.98, 1 In 3.00
Se 0.2292 0.6909 0.9617  2 Sm 2.98, 1 In 3.00
Se 0.7708 0.3091 0.0383  2 Sm 2.98, 1 In 3.00
Se 0.7708 0.7326 0.4617  2 Sm 2.98, 1 In 3.00
Se 0.7797 0.7322 0.0475  2 In 2.92, 1 Sm 3.05
Se 0.8152 0.2678 0.5475  2 In 2.92, 1 Sm 3.05

formation energy from raw total energies: -1150 meV per atom
space group: Imma (74)
total magnetization: 0.000 μB per formula unit
calculated volume: 33.31 Å³ per atom



no.,N(E_F) (states/eV per atom),final energy (eV per atom)
1,2.946,-4.405
2,0.395,-7.761
3,0.423,-7.128
4,0.304,-4.037